Entry 1:
A geometry-optimized YEr3C structure, computed with PBE.

Unit cell a=5.0074 b=5.0074 c=5.0074 alpha=90.00 beta=90.00 gamma=90.00
Closest atoms and distances in Å follow each position.
Positions (direct):
1 Y 0.0000 0.0000 0.0000  12 Er 3.54
2 Er 0.0000 0.5000 0.5000  2 C 2.50
3 Er 0.5000 0.0000 0.5000  2 C 2.50
4 Er 0.5000 0.5000 0.0000  2 C 2.50
5 C 0.5000 0.5000 0.5000  6 Er 2.50

Properties
crystal system	cubic
total magnetization	0.000	μB per formula unit
total energy	-5.912	eV per atom


Entry 2:
A geometry-optimized YEr2C structure, computed with PBE.

Unit cell a=3.5615 b=3.5615 c=8.9915 alpha=90.00 beta=90.00 gamma=120.00
Closest atoms and distances in Å follow each position.
Positions (direct):
1 Y 0.0000 0.0000 0.0000  6 Y 3.56, 6 Er 3.78
2 Er 0.3333 0.6667 0.6479  3 C 2.45
3 Er 0.6667 0.3333 0.3521  3 C 2.45
4 C 0.0000 0.0000 0.5000  6 Er 2.45

Properties
crystal system	trigonal
total magnetization	0.000	μB per formula unit
energy above the most stable polymorph in this dataset	0	meV per atom


Entry 3:
A geometry-optimized ErZnC structure, computed with PBE.

Unit cell a=9.1200 b=9.1200 c=9.1200 alpha=157.47 beta=157.47 gamma=32.08
Closest atoms and distances in Å follow each position.
Positions (direct):
1 Er 0.1834 0.1834 0.0000  5 C 2.40-2.52
2 Er 0.8166 0.8166 0.0000  5 C 2.40-2.52
3 Zn 0.4330 0.4330 0.0000  1 C 1.97
4 Zn 0.5670 0.5670 0.0000  1 C 1.97
5 C 0.3205 0.3205 0.0000  1 Zn 1.97
6 C 0.6795 0.6795 0.0000  1 Zn 1.97

Properties
crystal system	tetragonal
total magnetization	0.000	μB per formula unit
total energy	-5.071	eV per atom


Entry 4:
A geometry-optimized Er2ZnC structure, computed with PBE.

Unit cell a=6.5882 b=6.5882 c=6.3773 alpha=90.00 beta=90.00 gamma=147.58
Closest atoms and distances in Å follow each position.
Positions (direct):
1 Er 0.1445 0.8555 0.5008  3 C 2.50-2.62
2 Er 0.1445 0.8555 0.9992  3 C 2.50-2.62
3 Er 0.8555 0.1445 0.0008  3 C 2.50-2.62
4 Er 0.8555 0.1445 0.4992  3 C 2.50-2.62
5 Zn 0.4916 0.5084 0.2500  1 C 2.31
6 Zn 0.5084 0.4916 0.7500  1 C 2.31
7 C 0.3088 0.6912 0.2500  1 Zn 2.31, 4 Er 2.50
8 C 0.6912 0.3088 0.7500  1 Zn 2.31, 4 Er 2.50

Properties
crystal system	orthorhombic
total magnetization	0.000	μB per formula unit
energy above the most stable polymorph in this dataset	24	meV per atom


Entry 5:
A geometry-optimized Er2ZnC structure, computed with PBE.

Unit cell a=7.6344 b=7.6344 c=7.6344 alpha=27.12 beta=27.12 gamma=27.12
Closest atoms and distances in Å follow each position.
Positions (direct):
1 Er 0.2270 0.2270 0.2270  3 C 2.46
2 Er 0.7730 0.7730 0.7730  3 C 2.46
3 Zn 0.0000 0.0000 0.0000  6 Er 3.13
4 C 0.5000 0.5000 0.5000  6 Er 2.46

Properties
crystal system	trigonal
total magnetization	0.929	μB per formula unit
energy above the most stable polymorph in this dataset	0	meV per atom


Entry 6:
A geometry-optimized Er4Zn2C structure, computed with PBE.

Unit cell a=7.8190 b=7.8190 c=7.8190 alpha=144.12 beta=144.12 gamma=51.65
Closest atoms and distances in Å follow each position.
Positions (direct):
1 Er 0.0000 0.5000 0.5000  2 C 2.41
2 Er 0.1724 0.1724 0.0000  1 C 2.43
3 Er 0.5000 0.0000 0.5000  2 C 2.41
4 Er 0.8276 0.8276 0.0000  1 C 2.43
5 Zn 0.3755 0.3755 0.0000  5 Er 2.86-2.98
6 Zn 0.6245 0.6245 0.0000  5 Er 2.86-2.98
7 C 0.0000 0.0000 0.0000  6 Er 2.41-2.43

Properties
crystal system	tetragonal
total magnetization	0.000	μB per formula unit
total energy	-4.503	eV per atom


Entry 7:
A geometry-optimized Er8ZnC4 structure, computed with PBE.

Unit cell a=8.8445 b=8.8445 c=12.0028 alpha=131.92 beta=131.92 gamma=23.46
Closest atoms and distances in Å follow each position.
Positions (direct):
1 Er 0.0437 0.0437 0.2232  3 C 2.44-2.47
2 Er 0.3069 0.3069 0.4469  3 C 2.44-2.48
3 Er 0.3434 0.3434 0.1657  3 C 2.43-2.46
4 Er 0.3580 0.3580 0.9018  3 C 2.45-2.46
5 Er 0.6420 0.6420 0.0982  3 C 2.45-2.46
6 Er 0.6566 0.6566 0.8343  3 C 2.43-2.46
7 Er 0.6931 0.6931 0.5531  3 C 2.44-2.48
8 Er 0.9563 0.9563 0.7768  3 C 2.44-2.47
9 Zn 0.0000 0.0000 0.5000  8 Er 3.44-3.45, 2 Zn 3.60
10 C 0.1513 0.1513 0.9689  6 Er 2.43-2.47
11 C 0.3274 0.3274 0.6689  6 Er 2.44-2.48
12 C 0.6726 0.6726 0.3311  6 Er 2.44-2.48
13 C 0.8487 0.8487 0.0311  6 Er 2.43-2.47

Properties
crystal system	monoclinic
total magnetization	0.001	μB per formula unit
total energy	-5.999	eV per atom


Entry 8:
A geometry-optimized Er3Zn2C structure, computed with PBE.

Unit cell a=6.8216 b=6.8216 c=6.4328 alpha=90.00 beta=90.00 gamma=120.00
Closest atoms and distances in Å follow each position.
Positions (direct):
1 Er 0.1550 0.3100 0.2500  2 C 2.44
2 Er 0.1550 0.8450 0.2500  2 C 2.44
3 Er 0.3100 0.1550 0.7500  2 C 2.44
4 Er 0.6900 0.8450 0.2500  2 C 2.44
5 Er 0.8450 0.1550 0.7500  2 C 2.44
6 Er 0.8450 0.6900 0.7500  2 C 2.44
7 Zn 0.3333 0.6667 0.5699  1 Zn 2.32
8 Zn 0.3333 0.6667 0.9301  1 Zn 2.32
9 Zn 0.6667 0.3333 0.0699  1 Zn 2.32
10 Zn 0.6667 0.3333 0.4301  1 Zn 2.32
11 C 0.0000 0.0000 0.0000  6 Er 2.44
12 C 0.0000 0.0000 0.5000  6 Er 2.44

Properties
crystal system	hexagonal
total magnetization	0.000	μB per formula unit
total energy	-4.516	eV per atom


Entry 9:
A geometry-optimized Er2ZrC structure, computed with PBE.

Unit cell a=9.4582 b=9.4582 c=9.4582 alpha=20.69 beta=20.69 gamma=20.69
Closest atoms and distances in Å follow each position.
Positions (direct):
1 Er 0.1180 0.1180 0.1180  3 C 2.38
2 Er 0.8820 0.8820 0.8820  3 C 2.38
3 Zr 0.0000 0.0000 0.0000  2 Er 3.28, 6 Zr 3.40
4 C 0.5000 0.5000 0.5000  6 Er 2.38

Properties
crystal system	trigonal
total magnetization	0.000	μB per formula unit
total energy	-6.672	eV per atom


Entry 10:
A geometry-optimized ErZr5C4 structure, computed with PBE.

Unit cell a=7.5241 b=7.5241 c=6.8106 alpha=103.85 beta=103.85 gamma=25.95
Closest atoms and distances in Å follow each position.
Positions (direct):
1 Er 0.0000 0.0000 0.0000  6 C 2.45-2.47
2 Zr 0.0000 0.0000 0.5000  4 C 2.33
3 Zr 0.3346 0.3346 0.1478  4 C 2.32-2.41
4 Zr 0.3360 0.3360 0.6821  3 C 2.29-2.30
5 Zr 0.6640 0.6640 0.3179  3 C 2.29-2.30
6 Zr 0.6654 0.6654 0.8522  4 C 2.32-2.41
7 C 0.1721 0.1721 0.0929  5 Zr 2.30-2.34, 1 Er 2.45
8 C 0.4961 0.4961 0.7341  4 Zr 2.29-2.41, 2 Er 2.47
9 C 0.5039 0.5039 0.2659  4 Zr 2.29-2.41, 2 Er 2.47
10 C 0.8279 0.8279 0.9071  5 Zr 2.30-2.34, 1 Er 2.45

Properties
crystal system	monoclinic
total magnetization	0.000	μB per formula unit
total energy	-8.970	eV per atom


Entry 11:
A geometry-optimized Er2Zr2C3 structure, computed with PBE.

Unit cell a=6.0688 b=6.0688 c=5.9492 alpha=102.42 beta=102.42 gamma=33.63
Closest atoms and distances in Å follow each position.
Positions (direct):
1 Er 0.1198 0.1198 0.3686  5 C 2.47-2.61
2 Er 0.8802 0.8802 0.6314  5 C 2.47-2.61
3 Zr 0.3590 0.3590 0.1491  4 C 2.24-2.36
4 Zr 0.6410 0.6410 0.8509  4 C 2.24-2.36
5 C 0.2439 0.2439 0.7678  3 Zr 2.24-2.36, 1 Er 2.49
6 C 0.5000 0.5000 0.5000  2 Zr 2.35, 4 Er 2.47
7 C 0.7561 0.7561 0.2322  3 Zr 2.24-2.36, 1 Er 2.49

Properties
crystal system	monoclinic
total magnetization	0.001	μB per formula unit
total energy	-8.207	eV per atom


Entry 12:
A geometry-optimized EuC2 structure, computed with PBE.

Unit cell a=4.3036 b=4.3036 c=4.3036 alpha=125.48 beta=125.48 gamma=80.74
Closest atoms and distances in Å follow each position.
Positions (direct):
1 Eu 0.0000 0.0000 0.0000  10 C 2.64-2.86
2 C 0.4028 0.4028 0.0000  1 C 1.27
3 C 0.5972 0.5972 0.0000  1 C 1.27

Properties
crystal system	tetragonal
total magnetization	6.852	μB per formula unit
total energy	-9.581	eV per atom